No. 1
! PBE-GGA PmCoOs, relaxed; values from VASP
&SYSTEM
  ibrav = 0, nat = 6, ntyp = 3
/
ATOMIC_SPECIES
Pm 145.00 Pm.upf
Co 58.93 Co.upf
Os 190.23 Os.upf
ATOMIC_POSITIONS crystal
Pm 0.3721 0.1221 0.2500
Pm 0.6279 0.8779 0.7500
Co 0.0000 0.5000 0.5000
Co 0.5000 0.5000 0.0000
Os 0.0000 0.0000 0.5000
Os 0.0000 0.5000 0.0000
CELL_PARAMETERS angstrom
-2.5620 2.7121 3.7837
2.5620 -2.7121 3.7837
2.5620 2.7121 -3.7837
! Energy above the most stable polymorph in this dataset (eV/atom): 0.000
! VASP energy (eV/atom): -7.82
! Total magnetization (μB/f.u.): 1.0
! ΔE_f (eV per atom): -0.13

No. 2
! PBE-GGA Rb2LaRhO4, relaxed; values from VASP
&SYSTEM
  ibrav = 0, nat = 8, ntyp = 4
/
ATOMIC_SPECIES
Rb 85.47 Rb.upf
La 138.91 La.upf
Rh 102.91 Rh.upf
O 16.00 O.upf
ATOMIC_POSITIONS crystal
Rb 0.0000 0.0000 0.0000
Rb 0.5000 0.5000 0.0000
La 0.0000 0.5000 0.5000
Rh 0.5000 0.0000 0.5000
O 0.2532 0.0000 0.6859
O 0.3094 0.5000 0.3294
O 0.6906 0.5000 0.6706
O 0.7468 0.0000 0.3141
CELL_PARAMETERS angstrom
5.8290 0.0000 0.0000
0.0000 3.5416 0.0000
-2.1236 0.0000 6.5042
! Formation energy without anion corrections (kJ/mol of atoms): -161
! VASP energy (eV/atom): -5.92
! Total magnetization (μB/f.u.): 0.0

No. 3
! PBE-GGA Y3Ga3Pd, relaxed; values from VASP
&SYSTEM
  ibrav = 0, nat = 14, ntyp = 3
/
ATOMIC_SPECIES
Y 88.91 Y.upf
Ga 69.72 Ga.upf
Pd 106.42 Pd.upf
ATOMIC_POSITIONS crystal
Y 0.0315 0.0315 0.3806
Y 0.1060 0.1060 0.9252
Y 0.2393 0.2393 0.2309
Y 0.7607 0.7607 0.7691
Y 0.8940 0.8940 0.0748
Y 0.9685 0.9685 0.6194
Ga 0.3664 0.3664 0.4600
Ga 0.3907 0.3907 0.9239
Ga 0.4722 0.4722 0.7702
Ga 0.5278 0.5278 0.2298
Ga 0.6093 0.6093 0.0761
Ga 0.6336 0.6336 0.5400
Pd 0.2544 0.2544 0.6084
Pd 0.7456 0.7456 0.3916
CELL_PARAMETERS angstrom
5.3748 -2.1708 0.0000
5.3748 2.1708 0.0000
-4.8909 0.0000 13.4570
! VASP energy (eV/atom): -5.56
! Total magnetization (μB/f.u.): 0.0
! ΔE_f (eV per atom): -0.75

No. 4
! PBE-GGA CaLaIn, relaxed; values from VASP
&SYSTEM
  ibrav = 0, nat = 6, ntyp = 3
/
ATOMIC_SPECIES
Ca 40.08 Ca.upf
La 138.91 La.upf
In 114.82 In.upf
ATOMIC_POSITIONS crystal
Ca 0.0000 0.0000 0.0000
Ca 0.3333 0.6667 0.2263
La 0.3333 0.6667 0.7338
La 0.6667 0.3333 0.4394
In 0.0000 0.0000 0.4983
In 0.6667 0.3333 0.9601
CELL_PARAMETERS angstrom
5.5727 0.0000 0.0000
-2.7864 4.8261 0.0000
0.0000 0.0000 7.2301
! Energy above the most stable polymorph in this dataset (eV/atom): 0.073
! VASP energy (eV/atom): -3.59
! Total magnetization (μB/f.u.): 0.0
! ΔE_f (eV per atom): -0.37

No. 5
! PBE-GGA Ba2TbCdAu6, relaxed; values from VASP
&SYSTEM
  ibrav = 0, nat = 10, ntyp = 4
/
ATOMIC_SPECIES
Ba 137.33 Ba.upf
Tb 158.93 Tb.upf
Cd 112.41 Cd.upf
Au 196.97 Au.upf
ATOMIC_POSITIONS crystal
Ba 0.2500 0.2500 0.2500
Ba 0.7500 0.7500 0.7500
Tb 0.0000 0.0000 0.0000
Cd 0.5000 0.5000 0.5000
Au 0.2540 0.2540 0.7460
Au 0.2540 0.7460 0.2540
Au 0.2540 0.7460 0.7460
Au 0.7460 0.2540 0.2540
Au 0.7460 0.2540 0.7460
Au 0.7460 0.7460 0.2540
CELL_PARAMETERS angstrom
0.0000 5.4665 5.4665
5.4665 0.0000 5.4665
5.4665 5.4665 0.0000
! VASP energy (eV/atom): -3.24
! Total magnetization (μB/f.u.): 0.0
! ΔE_f (eV per atom): -0.34

No. 6
! PBE-GGA Li9MgCd2, relaxed; values from VASP
&SYSTEM
  ibrav = 0, nat = 12, ntyp = 3
/
ATOMIC_SPECIES
Li 6.94 Li.upf
Mg 24.30 Mg.upf
Cd 112.41 Cd.upf
ATOMIC_POSITIONS crystal
Li 0.0000 0.0000 0.0000
Li 0.0000 0.0000 0.3388
Li 0.0000 0.0000 0.6612
Li 0.0000 0.5000 0.1766
Li 0.0000 0.5000 0.5000
Li 0.0000 0.5000 0.8234
Li 0.5000 0.0000 0.1766
Li 0.5000 0.0000 0.5000
Li 0.5000 0.0000 0.8234
Mg 0.5000 0.5000 0.0000
Cd 0.5000 0.5000 0.3383
Cd 0.5000 0.5000 0.6617
CELL_PARAMETERS angstrom
4.2788 0.0000 0.0000
0.0000 4.2788 0.0000
0.0000 0.0000 12.4504
! Energy above the most stable polymorph in this dataset (eV/atom): 0.000
! VASP energy (eV/atom): -1.84
! Total magnetization (μB/f.u.): 0.0
! ΔE_f (eV per atom): -0.12

No. 7
! PBE-GGA FeP2Os, relaxed; values from VASP
&SYSTEM
  ibrav = 0, nat = 4, ntyp = 3
/
ATOMIC_SPECIES
Fe 55.84 Fe.upf
P 30.97 P.upf
Os 190.23 Os.upf
ATOMIC_POSITIONS crystal
Fe 0.0000 0.0000 0.0000
P 0.0000 0.0000 0.5769
P 0.5000 0.5000 0.8972
Os 0.5000 0.5000 0.3752
CELL_PARAMETERS angstrom
3.0587 0.0000 0.0000
0.0000 3.0587 0.0000
0.0000 0.0000 5.3365
! Energy above the most stable polymorph in this dataset (eV/atom): 0.142
! VASP energy (eV/atom): -7.74
! Total magnetization (μB/f.u.): 0.5
! ΔE_f (eV per atom): -0.11

No. 8
! PBE-GGA PmMg9Zn2, relaxed; values from VASP
&SYSTEM
  ibrav = 0, nat = 24, ntyp = 3
/
ATOMIC_SPECIES
Pm 145.00 Pm.upf
Mg 24.30 Mg.upf
Zn 65.41 Zn.upf
ATOMIC_POSITIONS crystal
Pm 0.3750 0.6250 0.7500
Pm 0.6250 0.3750 0.2500
Mg 0.1250 0.8750 0.2500
Mg 0.1293 0.5595 0.3260
Mg 0.1293 0.8033 0.5698
Mg 0.1967 0.2666 0.3260
Mg 0.1967 0.8707 0.9302
Mg 0.2666 0.1967 0.8260
Mg 0.2666 0.4405 0.0698
Mg 0.4405 0.2666 0.5698
Mg 0.4405 0.8707 0.1740
Mg 0.5595 0.1293 0.8260
Mg 0.5595 0.7334 0.4302
Mg 0.7334 0.5595 0.9302
Mg 0.7334 0.8033 0.1740
Mg 0.8033 0.1293 0.0698
Mg 0.8033 0.7334 0.6740
Mg 0.8707 0.1967 0.4302
Mg 0.8707 0.4405 0.6740
Mg 0.8750 0.1250 0.7500
Zn 0.0000 0.0000 0.0000
Zn 0.0000 0.0000 0.5000
Zn 0.0000 0.5000 0.0000
Zn 0.5000 0.0000 0.5000
CELL_PARAMETERS angstrom
-5.9507 5.9507 3.7797
5.9507 -5.9507 3.7797
5.9507 5.9507 -3.7797
! VASP energy (eV/atom): -1.88
! Total magnetization (μB/f.u.): 0.0
! ΔE_f (eV per atom): -0.07

Question: The lowest VASP energy belongs to which entry?
Answer: PmCoOs

Question: What is the formula in the eighth record?
Answer: PmMg9Zn2

Question: Number 5 is which compound?
Answer: Ba2TbCdAu6